# 1
Below is a crystal of Li2TlAu2 relaxed with PBEsol, with properties calculated at the meta-GGA SCAN level.

Unit cell a=7.631 b=7.631 c=2.962 alpha=90.00 beta=90.00 gamma=90.00
Sites, in units of the cell vectors:
Li: 0.161 0.339 0.000
Li: 0.339 0.839 0.000
Li: 0.661 0.161 0.000
Li: 0.839 0.661 0.000
Tl: 0.000 0.000 0.500
Tl: 0.500 0.500 0.500
Au: 0.133 0.633 0.500
Au: 0.367 0.133 0.500
Au: 0.633 0.867 0.500
Au: 0.867 0.367 0.500

Calculated values
Calculated formation energy, eV/atom: -0.464
Calculated total energy, eV per cell: -435.5
Symmetry: P4/mbm

# 2
Below is a crystal of Na2PdF4 relaxed with PBEsol, with properties calculated at the meta-GGA SCAN level.

Unit cell a=3.413 b=5.575 c=10.032 alpha=90.00 beta=94.96 gamma=90.00
Sites, in units of the cell vectors:
Na: 0.217 0.045 0.151
Na: 0.217 0.455 0.651
Na: 0.783 0.545 0.349
Na: 0.783 0.955 0.849
Pd: 0.500 0.000 0.500
Pd: 0.500 0.500 0.000
F: 0.288 0.677 0.839
F: 0.288 0.823 0.339
F: 0.292 0.194 0.926
F: 0.292 0.306 0.426
F: 0.708 0.694 0.574
F: 0.708 0.806 0.074
F: 0.712 0.177 0.661
F: 0.712 0.323 0.161

Calculated values
ΔE_f (raw), meV/atom: -2308
Calculated total energy, eV per cell: -143.0
Symmetry: P2_1/c

# 3
Below is a crystal of TaCd relaxed with PBEsol, with properties calculated at the meta-GGA SCAN level.

Unit cell a=5.140 b=5.140 c=5.359 alpha=99.40 beta=99.40 gamma=32.40
Sites, in units of the cell vectors:
Ta: 0.133 0.133 0.409
Ta: 0.867 0.867 0.591
Cd: 0.378 0.378 0.106
Cd: 0.622 0.622 0.894

Calculated values
Calculated formation energy, eV/atom: 0.322
Calculated total energy, eV per cell: -192.7
Symmetry: C2/m

# 4
Below is a crystal of Li3AsOs relaxed with PBEsol, with properties calculated at the meta-GGA SCAN level.

Unit cell a=4.505 b=4.505 c=4.505 alpha=90.00 beta=90.00 gamma=90.00
Sites, in units of the cell vectors:
Li: 0.000 0.000 0.500
Li: 0.000 0.500 0.000
Li: 0.500 0.000 0.000
As: 0.000 0.000 0.000
Os: 0.500 0.500 0.500

Calculated values
Calculated formation energy, eV/atom: 0.847
Calculated total energy, eV per cell: -95.0
Symmetry: Pm-3m

# 5
Below is a crystal of RbCuSn2 relaxed with PBEsol, with properties calculated at the meta-GGA SCAN level.

Unit cell a=5.190 b=5.190 c=5.190 alpha=60.00 beta=60.00 gamma=60.00
Sites, in units of the cell vectors:
Rb: 0.000 0.000 0.000
Cu: 0.500 0.500 0.500
Sn: 0.250 0.250 0.250
Sn: 0.750 0.750 0.750

Calculated values
Calculated formation energy, eV/atom: 0.457
Calculated total energy, eV per cell: -106.0
Symmetry: Fm-3m

# 6
Below is a crystal of ZrAgRu2N relaxed with PBEsol, with properties calculated at the meta-GGA SCAN level.

Unit cell a=4.039 b=4.039 c=4.322 alpha=90.00 beta=90.00 gamma=90.00
Sites, in units of the cell vectors:
Zr: 0.000 0.000 0.000
Ag: 0.500 0.500 0.000
Ru: 0.000 0.500 0.500
Ru: 0.500 0.000 0.500
N: 0.500 0.500 0.500

Calculated values
ΔE_f (raw), meV/atom: 132
Calculated total energy, eV per cell: -140.4
Symmetry: P4/mmm

# 7
Below is a crystal of CrInRe2Ge relaxed with PBEsol, with properties calculated at the meta-GGA SCAN level.

Unit cell a=4.440 b=4.440 c=4.841 alpha=90.00 beta=90.00 gamma=90.00
Sites, in units of the cell vectors:
Cr: 0.000 0.000 0.000
In: 0.000 0.000 0.500
Re: 0.000 0.500 0.000
Re: 0.500 0.000 0.000
Ge: 0.500 0.500 0.500

Calculated values
Calculated formation energy, eV/atom: 1.583
Calculated total energy, eV per cell: -205.1
Symmetry: P4/mmm

# 8
Below is a crystal of BaMnP2O7 relaxed with PBEsol, with properties calculated at the meta-GGA SCAN level.

Unit cell a=5.559 b=8.532 c=14.007 alpha=90.00 beta=112.90 gamma=90.00
Sites, in units of the cell vectors:
Ba: 0.063 0.143 0.281
Ba: 0.063 0.357 0.781
Ba: 0.937 0.643 0.219
Ba: 0.937 0.857 0.719
Mn: 0.430 0.158 0.608
Mn: 0.430 0.342 0.108
Mn: 0.570 0.658 0.892
Mn: 0.570 0.842 0.392
P: 0.203 0.692 0.018
P: 0.203 0.808 0.518
P: 0.414 0.548 0.662
P: 0.414 0.952 0.162
P: 0.586 0.048 0.838
P: 0.586 0.452 0.338
P: 0.797 0.192 0.482
P: 0.797 0.308 0.982
O: 0.069 0.166 0.481
O: 0.069 0.334 0.981
O: 0.212 0.677 0.910
O: 0.212 0.823 0.410
O: 0.278 0.626 0.548
O: 0.278 0.874 0.048
O: 0.294 0.078 0.800
O: 0.294 0.422 0.300
O: 0.294 0.626 0.733
O: 0.294 0.874 0.233
O: 0.338 0.125 0.148
O: 0.338 0.375 0.648
O: 0.412 0.591 0.099
O: 0.412 0.909 0.599
O: 0.588 0.091 0.401
O: 0.588 0.409 0.901
O: 0.662 0.625 0.352
O: 0.662 0.875 0.852
O: 0.706 0.126 0.767
O: 0.706 0.374 0.267
O: 0.706 0.578 0.700
O: 0.706 0.922 0.200
O: 0.722 0.126 0.952
O: 0.722 0.374 0.452
O: 0.788 0.177 0.590
O: 0.788 0.323 0.090
O: 0.931 0.666 0.019
O: 0.931 0.834 0.519

Calculated values
ΔE_f (raw), meV/atom: -2755
Calculated total energy, eV per cell: -610.1
Symmetry: P2_1/c

# 9
Below is a crystal of BiOsAu2 relaxed with PBEsol, with properties calculated at the meta-GGA SCAN level.

Unit cell a=4.725 b=4.725 c=4.725 alpha=60.00 beta=60.00 gamma=60.00
Sites, in units of the cell vectors:
Bi: 0.000 0.000 0.000
Os: 0.500 0.500 0.500
Au: 0.250 0.250 0.250
Au: 0.750 0.750 0.750

Calculated values
Calculated formation energy, eV/atom: 0.918
Calculated total energy, eV per cell: -285.1
Symmetry: Fm-3m

# 10
Below is a crystal of Ga2AsSI relaxed with PBEsol, with properties calculated at the meta-GGA SCAN level.

Unit cell a=5.724 b=5.724 c=4.958 alpha=90.00 beta=90.00 gamma=90.00
Sites, in units of the cell vectors:
Ga: 0.000 0.500 0.000
Ga: 0.500 0.000 0.000
As: 0.000 0.000 0.500
S: 0.500 0.500 0.500
I: 0.500 0.500 0.000

Calculated values
ΔE_f (raw), meV/atom: 1001
Calculated total energy, eV per cell: -94.2
Symmetry: P4/mmm

# 11
Below is a crystal of Zr2AlAu relaxed with PBEsol, with properties calculated at the meta-GGA SCAN level.

Unit cell a=4.750 b=4.750 c=4.750 alpha=60.00 beta=60.00 gamma=60.00
Sites, in units of the cell vectors:
Zr: 0.000 0.000 0.000
Zr: 0.250 0.250 0.250
Al: 0.500 0.500 0.500
Au: 0.750 0.750 0.750

Calculated values
Calculated formation energy, eV/atom: -0.248
Calculated total energy, eV per cell: -139.3
Symmetry: F-43m

# 12
Below is a crystal of Y2ScAl relaxed with PBEsol, with properties calculated at the meta-GGA SCAN level.

Unit cell a=5.663 b=5.663 c=5.663 alpha=132.44 beta=132.44 gamma=69.54
Sites, in units of the cell vectors:
Y: 0.250 0.750 0.500
Y: 0.750 0.250 0.500
Sc: 0.000 0.000 0.000
Al: 0.500 0.500 0.000

Calculated values
Calculated formation energy, eV/atom: -0.160
Calculated total energy, eV per cell: -78.3
Symmetry: I4/mmm

# 13
Below is a crystal of YOsSe relaxed with PBEsol, with properties calculated at the meta-GGA SCAN level.

Unit cell a=4.434 b=4.434 c=4.434 alpha=60.00 beta=60.00 gamma=60.00
Sites, in units of the cell vectors:
Y: 0.000 0.000 0.000
Os: 0.250 0.250 0.250
Se: 0.500 0.500 0.500

Calculated values
ΔE_f (raw), meV/atom: -133
Calculated total energy, eV per cell: -120.2
Symmetry: F-43m

# 14
Below is a crystal of YHoO3 relaxed with PBEsol, with properties calculated at the meta-GGA SCAN level.

Unit cell a=6.336 b=6.336 c=12.553 alpha=90.00 beta=90.00 gamma=120.00
Sites, in units of the cell vectors:
Y: 0.000 0.000 0.000
Y: 0.000 0.000 0.500
Y: 0.333 0.667 0.034
Y: 0.333 0.667 0.534
Y: 0.667 0.333 0.034
Y: 0.667 0.333 0.534
Ho: 0.000 0.333 0.269
Ho: 0.000 0.667 0.769
Ho: 0.333 0.000 0.269
Ho: 0.333 0.333 0.769
Ho: 0.667 0.000 0.769
Ho: 0.667 0.667 0.269
O: 0.000 0.000 0.305
O: 0.000 0.000 0.805
O: 0.000 0.305 0.095
O: 0.000 0.365 0.441
O: 0.000 0.635 0.941
O: 0.000 0.695 0.595
O: 0.305 0.000 0.095
O: 0.305 0.305 0.595
O: 0.333 0.667 0.239
O: 0.333 0.667 0.739
O: 0.365 0.000 0.441
O: 0.365 0.365 0.941
O: 0.635 0.000 0.941
O: 0.635 0.635 0.441
O: 0.667 0.333 0.239
O: 0.667 0.333 0.739
O: 0.695 0.000 0.595
O: 0.695 0.695 0.095

Calculated values
ΔE_f (raw), meV/atom: -3859
Calculated total energy, eV per cell: -688.9
Symmetry: P6_3cm

# 15
Below is a crystal of ZrMoOs relaxed with PBEsol, with properties calculated at the meta-GGA SCAN level.

Unit cell a=4.342 b=4.342 c=4.342 alpha=60.00 beta=60.00 gamma=60.00
Sites, in units of the cell vectors:
Zr: 0.000 0.000 0.000
Mo: 0.250 0.250 0.250
Os: 0.750 0.750 0.750

Calculated values
Calculated formation energy, eV/atom: 1.089
Calculated total energy, eV per cell: -134.2
Symmetry: F-43m

# 16
Below is a crystal of CoH4Cl2O2 relaxed with PBEsol, with properties calculated at the meta-GGA SCAN level.

Unit cell a=5.506 b=5.506 c=3.528 alpha=97.11 beta=97.11 gamma=95.90
Sites, in units of the cell vectors:
Co: 0.000 0.000 0.000
H: 0.217 0.594 0.843
H: 0.406 0.783 0.157
H: 0.594 0.217 0.843
H: 0.783 0.406 0.157
Cl: 0.232 0.232 0.586
Cl: 0.768 0.768 0.414
O: 0.240 0.760 0.000
O: 0.760 0.240 0.000

Calculated values
Calculated total energy, eV per cell: -68.4
Symmetry: C2/m

# 17
Below is a crystal of ScTl relaxed with PBEsol, with properties calculated at the meta-GGA SCAN level.

Unit cell a=5.792 b=5.792 c=4.158 alpha=90.00 beta=90.00 gamma=137.28
Sites, in units of the cell vectors:
Sc: 0.131 0.869 0.750
Sc: 0.869 0.131 0.250
Tl: 0.401 0.599 0.750
Tl: 0.599 0.401 0.250

Calculated values
Calculated formation energy, eV/atom: -0.456
Calculated total energy, eV per cell: -175.0
Symmetry: Cmcm

# 18
Below is a crystal of Al2MoCl relaxed with PBEsol, with properties calculated at the meta-GGA SCAN level.

Unit cell a=5.266 b=5.266 c=5.266 alpha=146.85 beta=128.28 gamma=62.83
Sites, in units of the cell vectors:
Al: 0.247 0.247 0.000
Al: 0.753 0.753 0.000
Mo: 0.000 0.500 0.500
Cl: 0.500 0.000 0.500

Calculated values
ΔE_f (raw), meV/atom: 328
Calculated total energy, eV per cell: -57.1
Symmetry: Immm

# 19
Below is a crystal of Y3TlAg relaxed with PBEsol, with properties calculated at the meta-GGA SCAN level.

Unit cell a=5.613 b=5.613 c=5.613 alpha=90.00 beta=90.00 gamma=90.00
Sites, in units of the cell vectors:
Y: 0.000 0.000 0.500
Y: 0.000 0.500 0.000
Y: 0.500 0.000 0.000
Tl: 0.000 0.000 0.000
Ag: 0.500 0.500 0.500

Calculated values
Calculated formation energy, eV/atom: 0.344
Calculated total energy, eV per cell: -185.5
Symmetry: Pm-3m

# 20
Below is a crystal of Li2IBr relaxed with PBEsol, with properties calculated at the meta-GGA SCAN level.

Unit cell a=4.317 b=4.317 c=6.938 alpha=90.00 beta=90.00 gamma=120.00
Sites, in units of the cell vectors:
Li: 0.000 0.000 0.000
Li: 0.333 0.667 0.548
I: 0.000 0.000 0.400
Br: 0.333 0.667 0.908

Calculated values
ΔE_f (raw), meV/atom: -1510
Calculated total energy, eV per cell: -67.0
Symmetry: P3m1

Number 1: V 17.25 Å³ per atom. Number 2: V 13.59 Å³ per atom. Number 3: V 18.69 Å³ per atom. Number 4: V 18.29 Å³ per atom. Number 5: V 24.71 Å³ per atom. Number 6: V 14.10 Å³ per atom. Number 7: V 19.08 Å³ per atom. Number 8: V 13.91 Å³ per atom. Number 9: V 18.65 Å³ per atom. Number 10: V 32.48 Å³ per atom. Number 11: V 18.94 Å³ per atom. Number 12: V 24.25 Å³ per atom. Number 13: V 20.54 Å³ per atom. Number 14: V 14.55 Å³ per atom. Number 15: V 19.30 Å³ per atom. Number 16: V 11.61 Å³ per atom. Number 17: V 23.65 Å³ per atom. Number 18: V 15.51 Å³ per atom. Number 19: V 35.37 Å³ per atom. Number 20: V 27.99 Å³ per atom.